Here is crystalline Tb2PmTm2Sc2 at its relaxed geometry from Alexandria via LeMat-Bulk. Energies are from PBE-GGA.

Values from the calculation:
- E: -34.68 eV/cell
- E_form: 134 meV/atom
- Symmetry: C2/m, No. 12
- Fermi-level density of states: 12.10 states/eV/cell

Lattice parameters (Å, degrees): 8.5217 8.5217 8.5622 119.37 119.37 23.04
Sites, in units of the cell vectors:
Tb 0.2272 0.2272 0.1539
Tb 0.7728 0.7728 0.8461
Pm 0.5000 0.5000 0.0000
Tm 0.0668 0.0668 0.7176
Tm 0.9332 0.9332 0.2824
Sc 0.1567 0.1567 0.4472
Sc 0.8433 0.8433 0.5528


Here is crystalline TbPm2TmSc at its relaxed geometry from Alexandria via LeMat-Bulk. Energies are from PBE-GGA.

Values from the calculation:
- E: -46.14 eV/cell
- E_form: 372 meV/atom
- Symmetry: Cmcm, No. 63
- Fermi-level density of states: 14.31 states/eV/cell

Lattice parameters (Å, degrees): 6.9783 6.9783 7.1506 90.00 90.00 108.19
Sites, in units of the cell vectors:
Tb 0.2297 0.7703 0.7500
Tb 0.7703 0.2297 0.2500
Pm 0.1989 0.1989 0.0000
Pm 0.1989 0.1989 0.5000
Pm 0.8011 0.8011 0.0000
Pm 0.8011 0.8011 0.5000
Tm 0.2365 0.7635 0.2500
Tm 0.7635 0.2365 0.7500
Sc 0.4938 0.5062 0.7500
Sc 0.5062 0.4938 0.2500


Here is crystalline TbPm2Tm2Sc at its relaxed geometry from Alexandria via LeMat-Bulk. Energies are from PBE-GGA.

Values from the calculation:
- E: -58.41 eV/cell
- E_form: 34 meV/atom
- Symmetry: Pmc2_1, No. 26
- Fermi-level density of states: 21.44 states/eV/cell

Lattice parameters (Å, degrees): 5.5952 10.7557 6.2149 90.00 90.00 90.00
Sites, in units of the cell vectors:
Tb 0.0000 0.2436 0.0000
Tb 0.0000 0.7564 0.5000
Pm 0.0000 0.4180 0.4935
Pm 0.0000 0.5820 0.9935
Pm 0.5000 0.2424 0.6610
Pm 0.5000 0.7576 0.1610
Tm 0.0000 0.0773 0.4858
Tm 0.0000 0.9227 0.9858
Tm 0.5000 0.4117 0.1614
Tm 0.5000 0.5883 0.6614
Sc 0.5000 0.0796 0.1598
Sc 0.5000 0.9204 0.6598


Here is crystalline Tb2Pm2Y4Sc at its relaxed geometry from Alexandria via LeMat-Bulk. Energies are from PBE-GGA.

Values from the calculation:
- E: -50.82 eV/cell
- E_form: 14 meV/atom
- Symmetry: C2/m, No. 12
- Fermi-level density of states: 13.09 states/eV/cell

Lattice parameters (Å, degrees): 9.4629 9.4629 9.5215 115.06 115.06 21.86
Sites, in units of the cell vectors:
Tb 0.1476 0.1476 0.1644
Tb 0.8524 0.8524 0.8356
Pm 0.3367 0.3367 0.5023
Pm 0.6633 0.6633 0.4977
Y 0.1846 0.1846 0.8328
Y 0.4810 0.4810 0.1702
Y 0.5190 0.5190 0.8298
Y 0.8154 0.8154 0.1672
Sc 0.0000 0.0000 0.5000


Here is crystalline TbPm3YSc at its relaxed geometry from Alexandria via LeMat-Bulk. Energies are from PBE-GGA.

Values from the calculation:
- E: -62.87 eV/cell
- E_form: 41 meV/atom
- Symmetry: P2_1/m, No. 11
- Fermi-level density of states: 18.33 states/eV/cell

Lattice parameters (Å, degrees): 7.9294 5.0544 10.0702 90.00 108.54 90.00
Sites, in units of the cell vectors:
Tb 0.0018 0.2500 0.3716
Tb 0.9982 0.7500 0.6284
Pm 0.3235 0.7500 0.9585
Pm 0.3273 0.2500 0.7105
Pm 0.3311 0.7500 0.4553
Pm 0.6689 0.2500 0.5447
Pm 0.6727 0.7500 0.2895
Pm 0.6765 0.2500 0.0415
Y 0.3244 0.2500 0.2023
Y 0.6756 0.7500 0.7977
Sc 0.0015 0.7500 0.1202
Sc 0.9985 0.2500 0.8798


Here is crystalline Tb3PmYSc at its relaxed geometry from Alexandria via LeMat-Bulk. Energies are from PBE-GGA.

Values from the calculation:
- E: -60.67 eV/cell
- E_form: 184 meV/atom
- Symmetry: C2/m, No. 12
- Fermi-level density of states: 18.82 states/eV/cell

Lattice parameters (Å, degrees): 10.6843 10.6843 6.5581 93.46 93.46 30.61
Sites, in units of the cell vectors:
Tb 0.0199 0.0199 0.2531
Tb 0.2759 0.2759 0.2008
Tb 0.3412 0.3412 0.7333
Tb 0.6588 0.6588 0.2667
Tb 0.7241 0.7241 0.7992
Tb 0.9801 0.9801 0.7469
Pm 0.1534 0.1534 0.5440
Pm 0.8466 0.8466 0.4560
Y 0.4370 0.4370 0.2422
Y 0.5630 0.5630 0.7578
Sc 0.1371 0.1371 0.9844
Sc 0.8629 0.8629 0.0156


Here is crystalline Tb3PmY6Sc2 at its relaxed geometry from Alexandria via LeMat-Bulk. Energies are from PBE-GGA.

Values from the calculation:
- E: -69.60 eV/cell
- E_form: 41 meV/atom
- Symmetry: C2/m, No. 12
- Fermi-level density of states: 17.83 states/eV/cell

Lattice parameters (Å, degrees): 6.1035 6.1035 11.6825 94.97 94.97 119.95
Sites, in units of the cell vectors:
Tb 0.0000 0.0000 0.0000
Tb 0.3328 0.6672 0.0000
Tb 0.6672 0.3328 0.0000
Pm 0.5000 0.5000 0.5000
Y 0.0814 0.4173 0.2543
Y 0.2464 0.2464 0.7457
Y 0.4173 0.0814 0.2543
Y 0.5827 0.9186 0.7457
Y 0.7536 0.7536 0.2543
Y 0.9186 0.5827 0.7457
Sc 0.1666 0.8334 0.5000
Sc 0.8334 0.1666 0.5000


Here is crystalline Tb2Pm2YSc at its relaxed geometry from Alexandria via LeMat-Bulk. Energies are from PBE-GGA.

Values from the calculation:
- E: -62.03 eV/cell
- E_form: 90 meV/atom
- Symmetry: Pmma, No. 51
- Fermi-level density of states: 18.73 states/eV/cell

Lattice parameters (Å, degrees): 6.8883 5.6068 9.7096 90.00 90.00 90.00
Sites, in units of the cell vectors:
Tb 0.2500 0.0000 0.1609
Tb 0.2500 0.5000 0.6702
Tb 0.7500 0.0000 0.8391
Tb 0.7500 0.5000 0.3298
Pm 0.0000 0.5000 0.0000
Pm 0.2500 0.0000 0.8123
Pm 0.5000 0.5000 0.0000
Pm 0.7500 0.0000 0.1877
Y 0.2500 0.5000 0.3488
Y 0.7500 0.5000 0.6512
Sc 0.0000 0.0000 0.5000
Sc 0.5000 0.0000 0.5000


Here is crystalline Tb2Pm6YSc at its relaxed geometry from Alexandria via LeMat-Bulk. Energies are from PBE-GGA.

Values from the calculation:
- E: -98.63 eV/cell
- E_form: 124 meV/atom
- Symmetry: C2/c, No. 15
- Fermi-level density of states: 26.75 states/eV/cell

Lattice parameters (Å, degrees): 8.9326 8.9326 9.4275 93.29 93.29 118.05
Sites, in units of the cell vectors:
Tb 0.1919 0.2955 0.4535
Tb 0.2955 0.1919 0.9535
Tb 0.7045 0.8081 0.0465
Tb 0.8081 0.7045 0.5465
Pm 0.0075 0.7872 0.8872
Pm 0.0618 0.4960 0.6963
Pm 0.2128 0.9925 0.6128
Pm 0.2662 0.6266 0.0513
Pm 0.3734 0.7338 0.4487
Pm 0.4960 0.0618 0.1963
Pm 0.5040 0.9382 0.8037
Pm 0.6266 0.2662 0.5513
Pm 0.7338 0.3734 0.9487
Pm 0.7872 0.0075 0.3872
Pm 0.9382 0.5040 0.3037
Pm 0.9925 0.2128 0.1128
Y 0.4759 0.5241 0.7500
Y 0.5241 0.4759 0.2500
Sc 0.0797 0.9203 0.2500
Sc 0.9203 0.0797 0.7500


Here is crystalline Tb2PmY6Sc3 at its relaxed geometry from Alexandria via LeMat-Bulk. Energies are from PBE-GGA.

Values from the calculation:
- E: -71.18 eV/cell
- E_form: 51 meV/atom
- Symmetry: C2/m, No. 12
- Fermi-level density of states: 18.97 states/eV/cell

Lattice parameters (Å, degrees): 6.0854 6.0854 11.5398 95.03 95.03 119.98
Sites, in units of the cell vectors:
Tb 0.1666 0.8334 0.0000
Tb 0.8334 0.1666 0.0000
Pm 0.5000 0.5000 0.0000
Y 0.0793 0.4129 0.7399
Y 0.2534 0.2534 0.2601
Y 0.4129 0.0793 0.7399
Y 0.5871 0.9207 0.2601
Y 0.7466 0.7466 0.7399
Y 0.9207 0.5871 0.2601
Sc 0.0000 0.0000 0.5000
Sc 0.3333 0.6667 0.5000
Sc 0.6667 0.3333 0.5000


Here is crystalline TbPm5YSc2 at its relaxed geometry from Alexandria via LeMat-Bulk. Energies are from PBE-GGA.

Values from the calculation:
- E: -92.02 eV/cell
- E_form: 167 meV/atom
- Symmetry: Cmc2_1, No. 36
- Fermi-level density of states: 27.60 states/eV/cell

Lattice parameters (Å, degrees): 11.2889 11.2889 9.4533 90.00 90.00 150.83
Sites, in units of the cell vectors:
Tb 0.1839 0.8161 0.5000
Tb 0.8161 0.1839 0.0000
Pm 0.0110 0.9890 0.4917
Pm 0.2661 0.7339 0.8096
Pm 0.3040 0.6960 0.1994
Pm 0.3915 0.6085 0.5274
Pm 0.4672 0.5328 0.2294
Pm 0.5328 0.4672 0.7294
Pm 0.6085 0.3915 0.0274
Pm 0.6960 0.3040 0.6994
Pm 0.7339 0.2661 0.3096
Pm 0.9890 0.0110 0.9917
Y 0.4009 0.5991 0.9009
Y 0.5991 0.4009 0.4009
Sc 0.1143 0.8857 0.8090
Sc 0.1342 0.8658 0.1860
Sc 0.8658 0.1342 0.6860
Sc 0.8857 0.1143 0.3090


Here is crystalline Tb2Pm4YSc at its relaxed geometry from Alexandria via LeMat-Bulk. Energies are from PBE-GGA.

Values from the calculation:
- E: -40.84 eV/cell
- E_form: 28 meV/atom
- Symmetry: P4/mmm, No. 123
- Fermi-level density of states: 11.16 states/eV/cell

Lattice parameters (Å, degrees): 5.0770 5.0770 9.9672 90.00 90.00 90.00
Sites, in units of the cell vectors:
Tb 0.0000 0.0000 0.0000
Tb 0.5000 0.5000 0.5000
Pm 0.0000 0.5000 0.2442
Pm 0.0000 0.5000 0.7558
Pm 0.5000 0.0000 0.2442
Pm 0.5000 0.0000 0.7558
Y 0.0000 0.0000 0.5000
Sc 0.5000 0.5000 0.0000


Here is crystalline TbPmYSc at its relaxed geometry from Alexandria via LeMat-Bulk. Energies are from PBE-GGA.

Values from the calculation:
- E: -21.56 eV/cell
- E_form: 153 meV/atom
- Symmetry: F-43m, No. 216
- Fermi-level density of states: 10.31 states/eV/cell

Lattice parameters (Å, degrees): 5.5965 5.5965 5.5965 60.00 60.00 60.00
Sites, in units of the cell vectors:
Tb 0.0000 0.0000 0.0000
Pm 0.2500 0.2500 0.2500
Y 0.5000 0.5000 0.5000
Sc 0.7500 0.7500 0.7500


Here is crystalline Tb2Pm6Y3Sc at its relaxed geometry from Alexandria via LeMat-Bulk. Energies are from PBE-GGA.

Values from the calculation:
- E: -63.21 eV/cell
- E_form: 23 meV/atom
- Symmetry: C2/m, No. 12
- Fermi-level density of states: 14.76 states/eV/cell

Lattice parameters (Å, degrees): 6.2233 6.2233 11.7839 95.04 95.04 119.99
Sites, in units of the cell vectors:
Tb 0.1667 0.8333 0.0000
Tb 0.8333 0.1667 0.0000
Pm 0.0877 0.4181 0.7532
Pm 0.2513 0.2513 0.2471
Pm 0.4181 0.0877 0.7532
Pm 0.5819 0.9123 0.2468
Pm 0.7487 0.7487 0.7529
Pm 0.9123 0.5819 0.2468
Y 0.0000 0.0000 0.5000
Y 0.3335 0.6665 0.5000
Y 0.6665 0.3335 0.5000
Sc 0.5000 0.5000 0.0000


Here is crystalline TbPm4Y2Sc at its relaxed geometry from Alexandria via LeMat-Bulk. Energies are from PBE-GGA.

Values from the calculation:
- E: -42.66 eV/cell
- E_form: 29 meV/atom
- Symmetry: Pmmm, No. 47
- Fermi-level density of states: 11.35 states/eV/cell

Lattice parameters (Å, degrees): 5.0748 5.0887 9.9606 90.00 90.00 90.00
Sites, in units of the cell vectors:
Tb 0.0000 0.0000 0.0000
Pm 0.0000 0.5000 0.2553
Pm 0.0000 0.5000 0.7447
Pm 0.5000 0.0000 0.2553
Pm 0.5000 0.0000 0.7447
Y 0.0000 0.0000 0.5000
Y 0.5000 0.5000 0.0000
Sc 0.5000 0.5000 0.5000


Here is crystalline TbPmY5Sc2 at its relaxed geometry from Alexandria via LeMat-Bulk. Energies are from PBE-GGA.

Values from the calculation:
- E: -105.72 eV/cell
- E_form: 167 meV/atom
- Symmetry: Cmc2_1, No. 36
- Fermi-level density of states: 28.80 states/eV/cell

Lattice parameters (Å, degrees): 11.0919 11.0919 9.3987 90.00 90.00 150.59
Sites, in units of the cell vectors:
Tb 0.0975 0.9025 0.5000
Tb 0.9025 0.0975 0.0000
Pm 0.3156 0.6844 0.8987
Pm 0.6844 0.3156 0.3987
Y 0.0309 0.9691 0.1702
Y 0.1111 0.8889 0.8730
Y 0.1933 0.8067 0.2021
Y 0.2353 0.7647 0.5819
Y 0.4906 0.5094 0.9025
Y 0.5094 0.4906 0.4025
Y 0.7647 0.2353 0.0819
Y 0.8067 0.1933 0.7021
Y 0.8889 0.1111 0.3730
Y 0.9691 0.0309 0.6702
Sc 0.3639 0.6361 0.2164
Sc 0.3870 0.6130 0.5935
Sc 0.6130 0.3870 0.0935
Sc 0.6361 0.3639 0.7164


Here is crystalline TbPm2Y6Sc at its relaxed geometry from Alexandria via LeMat-Bulk. Energies are from PBE-GGA.

Values from the calculation:
- E: -116.16 eV/cell
- E_form: 117 meV/atom
- Symmetry: C2/c, No. 15
- Fermi-level density of states: 24.31 states/eV/cell

Lattice parameters (Å, degrees): 9.2335 9.2335 8.7382 91.30 91.30 119.84
Sites, in units of the cell vectors:
Tb 0.0312 0.9688 0.7500
Tb 0.9688 0.0312 0.2500
Pm 0.2108 0.3189 0.5520
Pm 0.3189 0.2108 0.0520
Pm 0.6811 0.7892 0.9480
Pm 0.7892 0.6811 0.4480
Y 0.0504 0.4604 0.2929
Y 0.1341 0.7943 0.0508
Y 0.2057 0.8659 0.4492
Y 0.2628 0.5257 0.9092
Y 0.4604 0.0504 0.7929
Y 0.4743 0.7372 0.5908
Y 0.5257 0.2628 0.4092
Y 0.5396 0.9496 0.2071
Y 0.7372 0.4743 0.0908
Y 0.7943 0.1341 0.5508
Y 0.8659 0.2057 0.9492
Y 0.9496 0.5396 0.7071
Sc 0.4464 0.5536 0.2500
Sc 0.5536 0.4464 0.7500


Here is crystalline TbPmY3Sc at its relaxed geometry from Alexandria via LeMat-Bulk. Energies are from PBE-GGA.

Values from the calculation:
- E: -69.72 eV/cell
- E_form: 41 meV/atom
- Symmetry: Cmcm, No. 63
- Fermi-level density of states: 18.42 states/eV/cell

Lattice parameters (Å, degrees): 7.9043 7.9043 10.0078 90.00 90.00 143.24
Sites, in units of the cell vectors:
Tb 0.0000 0.0000 0.0000
Tb 0.0000 0.0000 0.5000
Pm 0.4972 0.5028 0.7500
Pm 0.5028 0.4972 0.2500
Y 0.1693 0.8307 0.7500
Y 0.3329 0.6671 0.5009
Y 0.3329 0.6671 0.9991
Y 0.6671 0.3329 0.0009
Y 0.6671 0.3329 0.4991
Y 0.8307 0.1693 0.2500
Sc 0.1672 0.8328 0.2500
Sc 0.8328 0.1672 0.7500


Here is crystalline Tb4Pm2YSc at its relaxed geometry from Alexandria via LeMat-Bulk. Energies are from PBE-GGA.

Values from the calculation:
- E: -40.57 eV/cell
- E_form: 31 meV/atom
- Symmetry: P4/mmm, No. 123
- Fermi-level density of states: 11.66 states/eV/cell

Lattice parameters (Å, degrees): 5.0273 5.0273 9.9934 90.00 90.00 90.00
Sites, in units of the cell vectors:
Tb 0.0000 0.5000 0.2447
Tb 0.0000 0.5000 0.7553
Tb 0.5000 0.0000 0.2447
Tb 0.5000 0.0000 0.7553
Pm 0.0000 0.0000 0.0000
Pm 0.5000 0.5000 0.5000
Y 0.0000 0.0000 0.5000
Sc 0.5000 0.5000 0.0000


Here is crystalline TbPm2Y4Sc2 at its relaxed geometry from Alexandria via LeMat-Bulk. Energies are from PBE-GGA.

Values from the calculation:
- E: -52.24 eV/cell
- E_form: 46 meV/atom
- Symmetry: C2/m, No. 12
- Fermi-level density of states: 14.30 states/eV/cell

Lattice parameters (Å, degrees): 8.6294 8.6294 9.6207 100.22 100.22 23.36
Sites, in units of the cell vectors:
Tb 0.0000 0.0000 0.0000
Pm 0.1583 0.1583 0.5895
Pm 0.8417 0.8417 0.4105
Y 0.1748 0.1748 0.2262
Y 0.4875 0.4875 0.6767
Y 0.5125 0.5125 0.3233
Y 0.8252 0.8252 0.7738
Sc 0.3327 0.3327 0.0780
Sc 0.6673 0.6673 0.9220


Here is crystalline Tb6PmY3Sc2 at its relaxed geometry from Alexandria via LeMat-Bulk. Energies are from PBE-GGA.

Values from the calculation:
- E: -64.14 eV/cell
- E_form: 38 meV/atom
- Symmetry: C2/m, No. 12
- Fermi-level density of states: 17.00 states/eV/cell

Lattice parameters (Å, degrees): 6.1019 6.1019 11.6579 94.99 94.99 119.96
Sites, in units of the cell vectors:
Tb 0.0817 0.4178 0.7549
Tb 0.2458 0.2458 0.2449
Tb 0.4178 0.0817 0.7549
Tb 0.5822 0.9183 0.2451
Tb 0.7542 0.7542 0.7551
Tb 0.9183 0.5822 0.2451
Pm 0.5000 0.5000 0.0000
Y 0.0000 0.0000 0.5000
Y 0.3329 0.6671 0.5000
Y 0.6671 0.3329 0.5000
Sc 0.1667 0.8333 0.0000
Sc 0.8333 0.1667 0.0000